# 1
# PBE CsHg2Bi, relaxed
data_CsHg2Bi
_cell_length_a 7.9005
_cell_length_b 7.9005
_cell_length_c 7.9005
_cell_angle_alpha 38.05
_cell_angle_beta 38.05
_cell_angle_gamma 38.05
_symmetry_space_group_name_H-M 'P 1'
_symmetry_Int_Tables_number 1
loop_
_symmetry_equiv_pos_as_xyz
'x,y,z'
loop_
_atom_site_label
_atom_site_type_symbol
_atom_site_fract_x
_atom_site_fract_y
_atom_site_fract_z
Cs1 Cs 0.0000 0.0000 0.0000
Hg1 Hg 0.5437 0.5437 0.5437
Hg2 Hg 0.7749 0.7749 0.7749
Bi1 Bi 0.1944 0.1944 0.1944
# Volume (Å³/cell): 168
# Electronic total energy (eV/atom): -1.56
# Energy of formation (eV/atom): -0.224
# Symmetry: No. 160

***

# 2
# PBE CsHg2Bi, relaxed
data_CsHg2Bi
_cell_length_a 11.4708
_cell_length_b 11.4708
_cell_length_c 11.4708
_cell_angle_alpha 149.60
_cell_angle_beta 149.60
_cell_angle_gamma 43.53
_symmetry_space_group_name_H-M 'P 1'
_symmetry_Int_Tables_number 1
loop_
_symmetry_equiv_pos_as_xyz
'x,y,z'
loop_
_atom_site_label
_atom_site_type_symbol
_atom_site_fract_x
_atom_site_fract_y
_atom_site_fract_z
Cs1 Cs 0.0000 0.0000 0.0000
Cs2 Cs 0.7500 0.2500 0.5000
Hg1 Hg 0.3730 0.6250 0.2480
Hg2 Hg 0.3750 0.6230 0.7480
Hg3 Hg 0.3770 0.1250 0.7520
Hg4 Hg 0.8750 0.6270 0.2520
Bi1 Bi 0.2500 0.7500 0.5000
Bi2 Bi 0.5000 0.5000 0.0000
# Volume (Å³/cell): 385
# Electronic total energy (eV/atom): -1.50
# Energy of formation (eV/atom): -0.162
# Symmetry: No. 122

***

# 3
# PBE Cs12Hg5Bi3, relaxed
data_Cs12Hg5Bi3
_cell_length_a 19.4201
_cell_length_b 19.4201
_cell_length_c 19.4201
_cell_angle_alpha 109.47
_cell_angle_beta 109.47
_cell_angle_gamma 109.47
_symmetry_space_group_name_H-M 'P 1'
_symmetry_Int_Tables_number 1
loop_
_symmetry_equiv_pos_as_xyz
'x,y,z'
loop_
_atom_site_label
_atom_site_type_symbol
_atom_site_fract_x
_atom_site_fract_y
_atom_site_fract_z
Cs1 Cs 0.0618 0.2323 0.1388
Cs2 Cs 0.0618 0.3295 0.9230
Cs3 Cs 0.0770 0.6388 0.4065
Cs4 Cs 0.0770 0.9382 0.6705
Cs5 Cs 0.0935 0.7323 0.6705
Cs6 Cs 0.0935 0.8612 0.4230
Cs7 Cs 0.1388 0.0618 0.2323
Cs8 Cs 0.1388 0.5770 0.9065
Cs9 Cs 0.1705 0.2323 0.5935
Cs10 Cs 0.1705 0.4382 0.5770
Cs11 Cs 0.2323 0.1388 0.0618
Cs12 Cs 0.2323 0.5935 0.1705
Cs13 Cs 0.2677 0.3295 0.9065
Cs14 Cs 0.2677 0.4382 0.3612
Cs15 Cs 0.3295 0.9065 0.2677
Cs16 Cs 0.3295 0.9230 0.0618
Cs17 Cs 0.3612 0.2677 0.4382
Cs18 Cs 0.3612 0.5935 0.9230
Cs19 Cs 0.4065 0.0770 0.6388
Cs20 Cs 0.4065 0.8295 0.7677
Cs21 Cs 0.4230 0.0935 0.8612
Cs22 Cs 0.4230 0.8295 0.5618
Cs23 Cs 0.4382 0.3612 0.2677
Cs24 Cs 0.4382 0.5770 0.1705
Cs25 Cs 0.5618 0.4230 0.8295
Cs26 Cs 0.5618 0.6388 0.7323
Cs27 Cs 0.5770 0.1705 0.4382
Cs28 Cs 0.5770 0.9065 0.1388
Cs29 Cs 0.5935 0.1705 0.2323
Cs30 Cs 0.5935 0.9230 0.3612
Cs31 Cs 0.6388 0.4065 0.0770
Cs32 Cs 0.6388 0.7323 0.5618
Cs33 Cs 0.6705 0.0770 0.9382
Cs34 Cs 0.6705 0.0935 0.7323
Cs35 Cs 0.7323 0.5618 0.6388
Cs36 Cs 0.7323 0.6705 0.0935
Cs37 Cs 0.7677 0.4065 0.8295
Cs38 Cs 0.7677 0.8612 0.9382
Cs39 Cs 0.8295 0.5618 0.4230
Cs40 Cs 0.8295 0.7677 0.4065
Cs41 Cs 0.8612 0.4230 0.0935
Cs42 Cs 0.8612 0.9382 0.7677
Cs43 Cs 0.9065 0.1388 0.5770
Cs44 Cs 0.9065 0.2677 0.3295
Cs45 Cs 0.9230 0.0618 0.3295
Cs46 Cs 0.9230 0.3612 0.5935
Cs47 Cs 0.9382 0.6705 0.0770
Cs48 Cs 0.9382 0.7677 0.8612
Hg1 Hg 0.0000 0.0000 0.0000
Hg2 Hg 0.0000 0.0000 0.5000
Hg3 Hg 0.0000 0.5000 0.0000
Hg4 Hg 0.0000 0.5000 0.5000
Hg5 Hg 0.1250 0.7500 0.8750
Hg6 Hg 0.1250 0.8750 0.2500
Hg7 Hg 0.2500 0.1250 0.8750
Hg8 Hg 0.2500 0.6250 0.3750
Hg9 Hg 0.3750 0.2500 0.6250
Hg10 Hg 0.3750 0.6250 0.7500
Hg11 Hg 0.5000 0.0000 0.0000
Hg12 Hg 0.5000 0.0000 0.5000
Hg13 Hg 0.5000 0.5000 0.0000
Hg14 Hg 0.5000 0.5000 0.5000
Hg15 Hg 0.6250 0.3750 0.2500
Hg16 Hg 0.6250 0.7500 0.3750
Hg17 Hg 0.7500 0.3750 0.6250
Hg18 Hg 0.7500 0.8750 0.1250
Hg19 Hg 0.8750 0.1250 0.7500
Hg20 Hg 0.8750 0.2500 0.1250
Bi1 Bi 0.1250 0.2500 0.3750
Bi2 Bi 0.1250 0.3750 0.7500
Bi3 Bi 0.2500 0.3750 0.1250
Bi4 Bi 0.2500 0.8750 0.6250
Bi5 Bi 0.3750 0.1250 0.2500
Bi6 Bi 0.3750 0.7500 0.1250
Bi7 Bi 0.6250 0.2500 0.8750
Bi8 Bi 0.6250 0.8750 0.7500
Bi9 Bi 0.7500 0.1250 0.3750
Bi10 Bi 0.7500 0.6250 0.8750
Bi11 Bi 0.8750 0.6250 0.2500
Bi12 Bi 0.8750 0.7500 0.6250
# Volume (Å³/cell): 5638
# Electronic total energy (eV/atom): -1.33
# Energy of formation (eV/atom): -0.163
# Symmetry: No. 230

***

# 4
# PBE Cs2Hg2Bi, relaxed
data_Cs2Hg2Bi
_cell_length_a 12.1729
_cell_length_b 12.1729
_cell_length_c 12.1729
_cell_angle_alpha 159.16
_cell_angle_beta 159.16
_cell_angle_gamma 29.64
_symmetry_space_group_name_H-M 'P 1'
_symmetry_Int_Tables_number 1
loop_
_symmetry_equiv_pos_as_xyz
'x,y,z'
loop_
_atom_site_label
_atom_site_type_symbol
_atom_site_fract_x
_atom_site_fract_y
_atom_site_fract_z
Cs1 Cs 0.1061 0.1061 0.0000
Cs2 Cs 0.8939 0.8939 0.0000
Hg1 Hg 0.2500 0.7500 0.5000
Hg2 Hg 0.7500 0.2500 0.5000
Bi1 Bi 0.5000 0.5000 0.0000
# Volume (Å³/cell): 228
# Electronic total energy (eV/atom): -1.43
# Energy of formation (eV/atom): -0.192
# Symmetry: No. 139